1.
A relaxed structure of Na6B7C5. Source: Alexandria via LeMat-Bulk, functional PBE.

abc: 4.943 4.943 8.465
angles: 90.00 90.00 120.00
Fractional coordinates of all 18 atoms:
Na1 0.999 0.000 0.000
Na2 0.999 0.000 0.500
Na3 0.333 0.666 0.000
Na4 0.333 0.666 0.500
Na5 0.668 0.334 0.000
Na6 0.668 0.334 0.500
C1 0.333 0.333 0.250
C2 0.667 0.667 0.750
C3 0.667 0.000 0.250
C4 0.000 0.333 0.750
C5 0.000 0.667 0.250
B1 0.333 0.000 0.750
B2 0.333 0.000 0.250
B3 0.333 0.347 0.750
B4 0.667 0.667 0.250
B5 0.681 0.000 0.750
B6 0.000 0.333 0.250
B7 0.986 0.653 0.750

Computed properties:
energy relative to the lowest polymorph listed for this composition	17	meV/atom
DFT formation energy	0.068	eV/atom

---

2.
A relaxed structure of Na5B8C2. Source: Alexandria via LeMat-Bulk, functional PBE.

abc: 2.940 2.940 42.901
angles: 90.00 90.00 120.00
Fractional coordinates of all 30 atoms:
Na1 0.000 0.000 0.996
Na2 0.000 0.000 0.097
Na3 0.000 0.000 0.199
Na4 0.000 0.000 0.300
Na5 0.000 0.000 0.401
Na6 0.000 0.000 0.503
Na7 0.000 0.000 0.604
Na8 0.000 0.000 0.702
Na9 0.000 0.000 0.800
Na10 0.000 0.000 0.898
B1 0.333 0.667 0.046
B2 0.667 0.333 0.148
B3 0.333 0.667 0.148
B4 0.667 0.333 0.046
B5 0.333 0.667 0.249
B6 0.667 0.333 0.351
B7 0.333 0.667 0.351
B8 0.667 0.333 0.249
B9 0.333 0.667 0.452
B10 0.667 0.333 0.554
B11 0.333 0.667 0.554
B12 0.667 0.333 0.452
B13 0.333 0.667 0.751
B14 0.667 0.333 0.653
B15 0.333 0.667 0.947
B16 0.667 0.333 0.849
C1 0.333 0.667 0.653
C2 0.667 0.333 0.751
C3 0.333 0.667 0.849
C4 0.667 0.333 0.947

Computed properties:
energy relative to the lowest polymorph listed for this composition	51	meV/atom
DFT formation energy	0.221	eV/atom

---

3.
A relaxed structure of Na5B8C2. Source: Alexandria via LeMat-Bulk, functional PBE.

abc: 13.248 13.248 8.665
angles: 90.00 90.00 167.75
Fractional coordinates of all 30 atoms:
Na1 0.200 0.800 0.001
Na2 0.200 0.800 0.499
Na3 0.399 0.601 0.002
Na4 0.399 0.601 0.498
Na5 0.000 0.000 0.998
Na6 0.000 0.000 0.502
Na7 0.601 0.399 0.000
Na8 0.601 0.399 0.500
Na9 0.799 0.201 0.000
Na10 0.799 0.201 0.500
B1 0.729 0.271 0.250
B2 0.736 0.264 0.750
B3 0.268 0.732 0.250
B4 0.935 0.065 0.250
B5 0.465 0.535 0.750
B6 0.921 0.079 0.750
B7 0.474 0.526 0.250
B8 0.073 0.927 0.750
B9 0.530 0.470 0.750
B10 0.062 0.938 0.250
B11 0.128 0.872 0.250
B12 0.142 0.858 0.750
B13 0.665 0.335 0.250
B14 0.331 0.669 0.250
B15 0.330 0.670 0.750
B16 0.872 0.128 0.250
C1 0.268 0.732 0.750
C2 0.533 0.467 0.250
C3 0.673 0.327 0.750
C4 0.862 0.138 0.750

Computed properties:
energy relative to the lowest polymorph listed for this composition	15	meV/atom
DFT formation energy	0.186	eV/atom

---

4.
A relaxed structure of Na2B3C. Source: Alexandria via LeMat-Bulk, functional PBE.

abc: 7.713 7.713 10.394
angles: 121.91 121.91 38.51
Fractional coordinates of all 30 atoms:
Na1 0.000 0.999 0.999
Na2 0.801 0.800 0.500
Na3 0.201 0.201 0.002
Na4 0.999 0.999 0.498
Na5 0.400 0.399 0.000
Na6 0.201 0.200 0.501
Na7 0.602 0.599 0.001
Na8 0.401 0.399 0.501
Na9 0.801 0.799 0.999
Na10 0.601 0.598 0.499
B1 0.242 0.562 0.751
B2 0.983 0.618 0.250
B3 0.030 0.359 0.250
B4 0.142 0.864 0.751
B5 0.444 0.756 0.750
B6 0.210 0.605 0.250
B7 0.336 0.058 0.749
B8 0.638 0.958 0.749
B9 0.437 0.763 0.250
B10 0.581 0.231 0.751
B11 0.582 0.217 0.250
B12 0.595 0.990 0.250
B13 0.777 0.423 0.750
B14 0.841 0.170 0.250
B15 0.969 0.619 0.749
C1 0.178 0.832 0.250
C2 0.368 0.022 0.250
C3 0.837 0.169 0.751
C4 0.031 0.363 0.749
C5 0.773 0.427 0.250

Computed properties:
energy relative to the lowest polymorph listed for this composition	41	meV/atom
DFT formation energy	0.174	eV/atom